DFT (GGA-PBE) results for a relaxed structure of SrSnPb3.

a b c (Å): 5.2924 7.1941 9.0183
angles (deg): 95.57 107.06 90.00
With the nearest neighbours (Å) after each atom.
Fractional positions:
Pb 0.2887 0.8464 0.5774  5 Pb 3.28-3.63
Pb 0.7113 0.1536 0.4226  5 Pb 3.28-3.63
Sr 0.1029 0.3953 0.2057  8 Pb 3.44-3.85, 2 Sn 3.44
Pb 0.2992 0.3446 0.5983  1 Sn 3.17, 2 Pb 3.28, 1 Sr 3.44
Sr 0.8971 0.6047 0.7943  8 Pb 3.44-3.85, 2 Sn 3.44
Pb 0.7008 0.6554 0.4017  1 Sn 3.17, 2 Pb 3.28, 1 Sr 3.44
Pb 0.0964 0.8988 0.1929  2 Sn 3.18, 1 Pb 3.37, 1 Sr 3.56
Sn 0.4789 0.2870 0.9577  1 Sn 3.08, 3 Pb 3.17-3.18, 2 Sr 3.44
Pb 0.9036 0.1012 0.8071  2 Sn 3.18, 1 Pb 3.37, 1 Sr 3.56
Sn 0.5211 0.7130 0.0423  1 Sn 3.08, 3 Pb 3.17-3.18, 2 Sr 3.44

Properties
SG: C2/m, No. 12
ΔE_f, eV per atom: -0.22
Excess energy over the best structure of this formula in the dataset, meV/atom: 0



DFT (GGA-PBE) results for a relaxed structure of Ba2GeHPd.

a b c (Å): 5.8541 5.8541 3.7517
angles (deg): 90.00 90.00 90.00
With the nearest neighbours (Å) after each atom.
Fractional positions:
Ba 0.0000 0.5000 0.0000  2 H 2.93
Ge 0.5000 0.5000 0.5000  8 Ba 3.48, 2 Ge 3.75
Pd 0.0000 0.0000 0.5000  2 H 1.88
Ba 0.5000 0.0000 0.0000  2 H 2.93
H 0.0000 0.0000 0.0000  2 Pd 1.88

Properties
SG: P4/mmm, No. 123
Calculated total energy, eV/atom: -3.85



DFT (GGA-PBE) results for a relaxed structure of UGaAg.

a b c (Å): 5.4320 4.6459 6.9508
angles (deg): 76.80 67.00 54.23
With the nearest neighbours (Å) after each atom.
Fractional positions:
U 0.2500 0.5000 0.5000  2 U 2.72, 4 Ga 3.01
Ag 0.1797 0.6406 0.0000  3 Ag 2.71-2.92, 2 Ga 2.73
Ga 0.4001 0.0000 0.1999  1 Ga 2.56, 2 Ag 2.73
Ag 0.8203 0.3594 0.0000  3 Ag 2.71-2.92, 2 Ga 2.73
U 0.7500 0.5000 0.5000  2 U 2.72, 4 Ga 3.01
Ga 0.5999 0.0000 0.8001  1 Ga 2.56, 2 Ag 2.73

Properties
SG: Fmmm, No. 69
ΔE_f, eV per atom: 0.32



DFT (GGA-PBE) results for a relaxed structure of Re2SbIr.

a b c (Å): 4.9394 4.9394 4.7624
angles (deg): 83.67 83.67 35.26
With the nearest neighbours (Å) after each atom.
Fractional positions:
Sb 0.7500 0.7500 0.7500  2 Re 2.68, 4 Ir 2.81, 2 Sb 2.99
Ir 0.2500 0.2500 0.2500  6 Re 2.74-2.85, 4 Sb 2.81, 2 Ir 2.99
Re 0.5189 0.5189 0.4685  2 Re 2.62, 1 Sb 2.68, 3 Ir 2.74-2.85
Re 0.9811 0.9811 0.0315  2 Re 2.62, 1 Sb 2.68, 3 Ir 2.74-2.85

Properties
SG: C2/m, No. 12
Formation energy without anion corrections, kJ/mol of formula units: 152



DFT (GGA-PBE) results for a relaxed structure of NbFe2Ge2.

a b c (Å): 7.0560 7.0560 2.7482
angles (deg): 90.00 90.00 90.00
With the nearest neighbours (Å) after each atom.
Fractional positions:
Fe 0.3531 0.1469 0.5000  6 Ge 2.47-2.49, 2 Fe 2.75
Ge 0.1474 0.3526 0.0000  6 Fe 2.47-2.49, 2 Nb 2.70, 2 Ge 2.75
Nb 0.0000 0.0000 0.0000  4 Ge 2.70, 2 Nb 2.75
Ge 0.3526 0.8526 0.0000  6 Fe 2.47-2.49, 2 Nb 2.70, 2 Ge 2.75
Nb 0.5000 0.5000 0.0000  4 Ge 2.70, 2 Nb 2.75
Fe 0.8531 0.3531 0.5000  6 Ge 2.47-2.49, 2 Fe 2.75
Ge 0.6474 0.1474 0.0000  6 Fe 2.47-2.49, 2 Nb 2.70, 2 Ge 2.75
Fe 0.1469 0.6469 0.5000  6 Ge 2.47-2.49, 2 Fe 2.75
Ge 0.8526 0.6474 0.0000  6 Fe 2.47-2.49, 2 Nb 2.70, 2 Ge 2.75
Fe 0.6469 0.8531 0.5000  6 Ge 2.47-2.49, 2 Fe 2.75

Properties
SG: P4/mbm, No. 127
ΔE_f, eV per atom: -0.07



DFT (GGA-PBE) results for a relaxed structure of Hf6ZrIn4.

a b c (Å): 3.3004 9.4864 9.4864
angles (deg): 120.00 90.00 90.00
With the nearest neighbours (Å) after each atom.
Fractional positions:
In 0.5000 0.8335 0.6670  6 Hf 2.93-3.08, 2 Zr 3.19
In 0.5000 0.8335 0.1665  6 Hf 2.93-3.08, 2 Zr 3.19
Hf 0.5000 0.1882 0.3765  4 In 2.90-2.93, 4 Hf 3.22
Hf 0.5000 0.1882 0.8118  4 In 2.90-2.93, 4 Hf 3.22
Hf 0.5000 0.6235 0.8118  4 In 2.90-2.93, 4 Hf 3.22
In 0.0000 0.3333 0.6667  9 Hf 2.90-3.04
Zr 0.0000 0.0000 0.0000  6 In 3.19, 2 Zr 3.30, 6 Hf 3.51
Hf 0.0000 0.5181 0.4819  5 In 3.04-3.08, 6 Hf 3.22-3.30
Hf 0.0000 0.5181 0.0363  5 In 3.04-3.08, 6 Hf 3.22-3.30
Hf 0.0000 0.9637 0.4819  5 In 3.04-3.08, 6 Hf 3.22-3.30
In 0.5000 0.3330 0.1665  6 Hf 2.93-3.08, 2 Zr 3.19

Properties
SG: P-6m2, No. 187
ΔE_f, eV per atom: 0.00



DFT (GGA-PBE) results for a relaxed structure of La2YInO.

a b c (Å): 5.0987 5.0987 4.8258
angles (deg): 90.00 90.00 90.00
With the nearest neighbours (Å) after each atom.
Fractional positions:
O 0.0000 0.0000 0.0000  2 Y 2.41, 4 La 2.55
Y 0.0000 0.0000 0.5000  2 O 2.41
In 0.5000 0.5000 0.5000  8 La 3.51, 4 Y 3.61
La 0.5000 0.0000 0.0000  2 O 2.55
La 0.0000 0.5000 0.0000  2 O 2.55

Properties
SG: P4/mmm, No. 123
Formation energy without anion corrections, kJ/mol of formula units: -683



DFT (GGA-PBE) results for a relaxed structure of BiPH2S4.

a b c (Å): 7.3321 7.3321 7.2322
angles (deg): 108.88 108.88 111.88
With the nearest neighbours (Å) after each atom.
Fractional positions:
S 0.8496 0.8218 0.5688  1 H 1.69
P 0.0000 0.0000 0.0000  6 S 2.51-2.59
H 0.5000 0.5000 0.0000  2 S 1.69
S 0.3218 0.3496 0.0688  1 H 1.69
P 0.5000 0.5000 0.5000  6 S 2.51-2.59
H 0.5000 0.0000 0.0000  2 S 1.61-1.62
Bi 0.0000 0.5000 0.0000  6 S 2.68-2.93
S 0.1504 0.1782 0.4312  1 H 1.69
Bi 0.0000 0.5000 0.5000  6 S 2.68-2.93
S 0.2556 0.8530 0.9729  1 H 1.61
S 0.7444 0.1470 0.0271  1 H 1.62
S 0.3530 0.7556 0.4729  1 H 1.62
S 0.6470 0.2444 0.5271  1 H 1.61
H 0.5000 0.0000 0.5000  2 S 1.61-1.62
H 0.0000 0.0000 0.5000  2 S 1.69
S 0.6782 0.6504 0.9313  1 H 1.69

Properties
SG: C2/c, No. 15
Calculated total energy, eV/atom: -3.91